[1]
DFT (SCAN) results for a crystal of CdCoP2O relaxed with PBEsol.

a = 4.714 Å, b = 4.714 Å, c = 3.355 Å
α = 90.00°, β = 90.00°, γ = 90.00°
Atoms (fractional coordinates):
Cd 0.000 0.000 0.000
Co 0.500 0.500 0.500
P 0.000 0.500 0.500
P 0.500 0.000 0.500
O 0.500 0.500 0.000

Properties
raw total energy = -14.821 eV/atom
crystal system = tetragonal
E_form (uncorrected) = 62 kJ/mol of formula units

=====

[2]
DFT (SCAN) results for a crystal of CdCo3P8O24 relaxed with PBEsol.

a = 7.278 Å, b = 7.278 Å, c = 9.844 Å
α = 112.65°, β = 112.65°, γ = 70.55°
Atoms (fractional coordinates):
Cd 0.000 0.000 0.000
Co 0.054 0.458 0.254
Co 0.111 0.889 0.500
Co 0.542 0.946 0.746
P 0.311 0.660 0.767
P 0.340 0.689 0.233
P 0.353 0.244 0.541
P 0.374 0.250 0.061
P 0.750 0.626 0.939
P 0.756 0.647 0.459
P 0.789 0.209 0.286
P 0.791 0.211 0.714
O 0.134 0.761 0.828
O 0.180 0.245 0.081
O 0.238 0.289 0.393
O 0.239 0.866 0.172
O 0.251 0.654 0.335
O 0.293 0.428 0.681
O 0.336 0.055 0.563
O 0.346 0.749 0.665
O 0.369 0.485 0.093
O 0.410 0.134 0.909
O 0.515 0.631 0.907
O 0.557 0.185 0.201
O 0.572 0.707 0.319
O 0.590 0.232 0.571
O 0.711 0.762 0.607
O 0.740 0.143 0.821
O 0.755 0.820 0.919
O 0.768 0.410 0.429
O 0.815 0.443 0.799
O 0.857 0.260 0.179
O 0.866 0.590 0.091
O 0.905 0.030 0.343
O 0.945 0.664 0.437
O 0.970 0.095 0.657

Properties
raw total energy = -10.935 eV/atom
crystal system = monoclinic
E_form (uncorrected) = -7584 kJ/mol of formula units

=====

[3]
DFT (SCAN) results for a crystal of CdCo2Os relaxed with PBEsol.

a = 2.690 Å, b = 2.690 Å, c = 7.349 Å
α = 90.00°, β = 90.00°, γ = 90.00°
Atoms (fractional coordinates):
Cd 0.000 0.000 0.000
Co 0.000 0.000 0.475
Co 0.500 0.500 0.272
Os 0.500 0.500 0.695

Properties
energy of formation from the pure elements = 0.382 eV/atom
raw total energy = -33.844 eV/atom
crystal system = tetragonal

=====

[4]
DFT (SCAN) results for a crystal of Cd2CoOsW relaxed with PBEsol.

a = 4.583 Å, b = 4.583 Å, c = 4.331 Å
α = 90.00°, β = 90.00°, γ = 90.00°
Atoms (fractional coordinates):
Cd 0.000 0.500 0.000
Cd 0.500 0.000 0.000
Co 0.000 0.000 0.000
Os 0.500 0.500 0.500
W 0.000 0.000 0.500

Properties
energy of formation from the pure elements = 1.719 eV/atom
raw total energy = -42.221 eV/atom
crystal system = tetragonal

=====

[5]
DFT (SCAN) results for a crystal of CdCoP4 relaxed with PBEsol.

a = 5.039 Å, b = 5.039 Å, c = 5.039 Å
α = 60.00°, β = 60.00°, γ = 60.00°
Atoms (fractional coordinates):
Cd 0.000 0.000 0.000
Co 0.750 0.750 0.750
P 0.378 0.378 0.378
P 0.378 0.378 0.866
P 0.378 0.866 0.378
P 0.866 0.378 0.378

Properties
energy of formation from the pure elements = 0.802 eV/atom
raw total energy = -14.083 eV/atom
crystal system = cubic

=====

[6]
DFT (SCAN) results for a crystal of CdCoP2 relaxed with PBEsol.

a = 4.769 Å, b = 4.769 Å, c = 4.769 Å
α = 135.70°, β = 118.43°, γ = 78.94°
Atoms (fractional coordinates):
Cd 0.000 0.000 0.000
Co 0.500 0.500 0.000
P 0.329 0.829 0.500
P 0.671 0.171 0.500

Properties
energy of formation from the pure elements = 0.365 eV/atom
raw total energy = -16.764 eV/atom
crystal system = orthorhombic

=====

[7]
DFT (SCAN) results for a crystal of CdCoP2 relaxed with PBEsol.

a = 3.878 Å, b = 3.504 Å, c = 5.410 Å
α = 90.00°, β = 110.15°, γ = 90.00°
Atoms (fractional coordinates):
Cd 0.000 0.000 0.000
Co 0.781 0.500 0.583
P 0.347 0.500 0.722
P 0.665 0.000 0.339

Properties
energy of formation from the pure elements = 0.050 eV/atom
raw total energy = -17.079 eV/atom
crystal system = monoclinic

=====

[8]
DFT (SCAN) results for a crystal of CdCoPRh2 relaxed with PBEsol.

a = 4.834 Å, b = 4.834 Å, c = 4.475 Å
α = 90.00°, β = 90.00°, γ = 90.00°
Atoms (fractional coordinates):
Cd 0.000 0.000 0.000
Co 0.500 0.500 0.500
P 0.000 0.000 0.500
Rh 0.000 0.500 0.000
Rh 0.500 0.000 0.000

Properties
energy of formation from the pure elements = 1.840 eV/atom
raw total energy = -23.292 eV/atom
crystal system = tetragonal

=====

[9]
DFT (SCAN) results for a crystal of Cd2Co2Pb relaxed with PBEsol.

a = 6.507 Å, b = 6.507 Å, c = 6.507 Å
α = 144.91°, β = 144.91°, γ = 50.47°
Atoms (fractional coordinates):
Cd 0.250 0.750 0.500
Cd 0.750 0.250 0.500
Co 0.092 0.092 0.000
Co 0.908 0.908 0.000
Pb 0.500 0.500 0.000

Properties
energy of formation from the pure elements = 0.527 eV/atom
raw total energy = -33.717 eV/atom
crystal system = tetragonal

=====

[10]
DFT (SCAN) results for a crystal of CdCo3Pb relaxed with PBEsol.

a = 4.639 Å, b = 4.639 Å, c = 4.639 Å
α = 90.00°, β = 90.00°, γ = 90.00°
Atoms (fractional coordinates):
Cd 0.000 0.000 0.000
Co 0.000 0.000 0.500
Co 0.000 0.500 0.000
Co 0.500 0.000 0.000
Pb 0.500 0.500 0.500

Properties
energy of formation from the pure elements = 1.475 eV/atom
raw total energy = -30.146 eV/atom
crystal system = cubic

=====

[11]
DFT (SCAN) results for a crystal of CdCo2TcPd relaxed with PBEsol.

a = 4.448 Å, b = 4.448 Å, c = 4.813 Å
α = 90.00°, β = 90.00°, γ = 90.00°
Atoms (fractional coordinates):
Cd 0.000 0.000 0.000
Co 0.000 0.500 0.500
Co 0.500 0.000 0.500
Tc 0.500 0.500 0.000
Pd 0.000 0.000 0.500

Properties
energy of formation from the pure elements = 1.388 eV/atom
raw total energy = -25.183 eV/atom
crystal system = tetragonal

=====

[12]
DFT (SCAN) results for a crystal of CdCoPt4 relaxed with PBEsol.

a = 5.185 Å, b = 5.185 Å, c = 5.185 Å
α = 60.00°, β = 60.00°, γ = 60.00°
Atoms (fractional coordinates):
Cd 0.000 0.000 0.000
Co 0.250 0.250 0.250
Pt 0.126 0.625 0.625
Pt 0.625 0.126 0.625
Pt 0.625 0.625 0.126
Pt 0.625 0.625 0.625

Properties
energy of formation from the pure elements = -0.016 eV/atom
raw total energy = -54.764 eV/atom
crystal system = cubic

=====

[13]
DFT (SCAN) results for a crystal of Cd2CoPt relaxed with PBEsol.

a = 2.869 Å, b = 3.783 Å, c = 5.786 Å
α = 90.00°, β = 90.00°, γ = 90.00°
Atoms (fractional coordinates):
Cd 0.000 0.000 0.241
Cd 0.000 0.000 0.759
Co 0.500 0.500 0.000
Pt 0.500 0.500 0.500

Properties
energy of formation from the pure elements = -0.039 eV/atom
raw total energy = -37.121 eV/atom
crystal system = orthorhombic

=====

[14]
DFT (SCAN) results for a crystal of Cd2CoPt relaxed with PBEsol.

a = 4.817 Å, b = 4.817 Å, c = 2.847 Å
α = 90.00°, β = 90.00°, γ = 106.89°
Atoms (fractional coordinates):
Cd 0.000 0.500 0.000
Cd 0.500 0.000 0.000
Co 0.000 0.000 0.500
Pt 0.500 0.500 0.500

Properties
energy of formation from the pure elements = 0.042 eV/atom
raw total energy = -37.039 eV/atom
crystal system = orthorhombic

=====

[15]
DFT (SCAN) results for a crystal of CdCo2Pt relaxed with PBEsol.

a = 2.685 Å, b = 3.683 Å, c = 5.579 Å
α = 90.00°, β = 90.00°, γ = 90.00°
Atoms (fractional coordinates):
Cd 0.000 0.000 0.000
Co 0.500 0.500 0.280
Co 0.500 0.500 0.720
Pt 0.000 0.000 0.500

Properties
energy of formation from the pure elements = 0.067 eV/atom
raw total energy = -33.737 eV/atom
crystal system = orthorhombic

=====

[16]
DFT (SCAN) results for a crystal of CdCoRe2 relaxed with PBEsol.

a = 4.939 Å, b = 4.939 Å, c = 2.668 Å
α = 90.00°, β = 90.00°, γ = 117.41°
Atoms (fractional coordinates):
Cd 0.000 0.000 0.000
Co 0.500 0.500 0.000
Re 0.000 0.500 0.500
Re 0.500 0.000 0.500

Properties
energy of formation from the pure elements = 0.681 eV/atom
raw total energy = -46.798 eV/atom
crystal system = orthorhombic

=====

[17]
DFT (SCAN) results for a crystal of CdCoRe2 relaxed with PBEsol.

a = 4.949 Å, b = 4.949 Å, c = 4.949 Å
α = 136.21°, β = 136.21°, γ = 63.65°
Atoms (fractional coordinates):
Cd 0.000 0.000 0.000
Co 0.500 0.500 0.000
Re 0.250 0.750 0.500
Re 0.750 0.250 0.500

Properties
energy of formation from the pure elements = 0.627 eV/atom
raw total energy = -46.852 eV/atom
crystal system = tetragonal

=====

[18]
DFT (SCAN) results for a crystal of CdCoRe2 relaxed with PBEsol.

a = 4.760 Å, b = 4.760 Å, c = 4.876 Å
α = 100.49°, β = 100.49°, γ = 32.37°
Atoms (fractional coordinates):
Cd 0.000 0.000 0.000
Co 0.245 0.245 0.789
Re 0.532 0.532 0.515
Re 0.769 0.769 0.314

Properties
energy of formation from the pure elements = 0.562 eV/atom
raw total energy = -46.916 eV/atom
crystal system = monoclinic

=====

[19]
DFT (SCAN) results for a crystal of CdCo4Re relaxed with PBEsol.

a = 4.650 Å, b = 4.650 Å, c = 4.650 Å
α = 60.00°, β = 60.00°, γ = 60.00°
Atoms (fractional coordinates):
Cd 0.000 0.000 0.000
Co 0.125 0.625 0.625
Co 0.625 0.125 0.625
Co 0.625 0.625 0.125
Co 0.625 0.625 0.625
Re 0.250 0.250 0.250

Properties
energy of formation from the pure elements = 0.386 eV/atom
raw total energy = -28.068 eV/atom
crystal system = cubic

=====

[20]
DFT (SCAN) results for a crystal of Zr2CdCoRe relaxed with PBEsol.

a = 5.059 Å, b = 5.059 Å, c = 4.749 Å
α = 90.00°, β = 90.00°, γ = 90.00°
Atoms (fractional coordinates):
Zr 0.000 0.500 0.000
Zr 0.500 0.000 0.000
Cd 0.000 0.000 0.000
Co 0.500 0.500 0.500
Re 0.000 0.000 0.500

Properties
energy of formation from the pure elements = 1.984 eV/atom
raw total energy = -34.059 eV/atom
crystal system = tetragonal